! LaTmCu2S4 | Alexandria | PBE | optimized geometry; values from VASP
! **Uncorrected energy**: -5.533 eV/atom
! **DOS(E_F)**: 0.05 states/eV per atom
! **SG**: No. 23
! **ρ**: 5.51 g/cm3
&SYSTEM
  ibrav = 0, nat = 8, ntyp = 4
/
ATOMIC_SPECIES
La 138.91 La.upf
S 32.06 S.upf
Tm 168.93 Tm.upf
Cu 63.55 Cu.upf
ATOMIC_POSITIONS angstrom
La 0.0000 0.0000 0.0000
S 4.9136 4.9185 2.5792
S 4.9136 0.7412 2.6342
S 8.0236 2.6861 0.5228
S 8.0237 2.9736 4.6906
Tm 6.4686 2.8299 2.6067
Cu 3.2343 1.8794 1.7312
Cu 9.7029 3.7803 3.4822
CELL_PARAMETERS angstrom
6.4686 0.0000 0.0000
3.2343 5.1383 0.1006
3.2343 0.5214 5.1128